# 1
{
  "formula": "Y3Ir2Rh",
  "functional": "GGA-PBE",
  "state": "optimized geometry",
  "lattice_angstrom": [[2.394, -7.184, 0.000], [2.394, 7.184, 0.000], [0.000, 0.000, 3.540]],
  "species": ["Y", "Y", "Y", "Ir", "Ir", "Rh"],
  "frac_coords": [[0.000, 0.000, 0.000], [0.332, 0.668, 0.000], [0.668, 0.332, 0.000], [0.166, 0.834, 0.500], [0.834, 0.166, 0.500], [0.500, 0.500, 0.500]],
  "e_above_lowest_polymorph_mev_per_atom": 0.0,
  "delta_e_f_mev_per_atom": -809,
  "e_tot_ev_per_atom": -8.220,
  "magnetic_moment_mub_per_cell": 0.00,
  "crystal_system": "orthorhombic",
  "n_ef_per_ev_cell": 3.20
}

# 2
{
  "formula": "YIrRh2",
  "functional": "GGA-PBE",
  "state": "optimized geometry",
  "lattice_angstrom": [[2.900, -3.841, 0.000], [2.900, 3.841, 0.000], [0.000, 0.000, 2.971]],
  "species": ["Y", "Ir", "Rh", "Rh"],
  "frac_coords": [[0.000, 0.000, 0.000], [0.500, 0.500, 0.000], [0.000, 0.500, 0.500], [0.500, 0.000, 0.500]],
  "e_above_lowest_polymorph_mev_per_atom": 204.0,
  "delta_e_f_mev_per_atom": -334,
  "e_tot_ev_per_atom": -7.841,
  "magnetic_moment_mub_per_cell": 0.00,
  "crystal_system": "orthorhombic",
  "n_ef_per_ev_cell": 2.56
}